(1)
The following is a meta-GGA SCAN calculation of a PBEsol-optimized structure of Sc5Tl, from Alexandria via LeMat-Bulk.

Summary:
V   22.63 Å³ per atom
Crystal system   orthorhombic
Formation energy   -0.2196 eV/atom
Energy above the most stable polymorph in this dataset   0.000 eV/atom

a = 4.448 Å, b = 13.837 Å, c = 4.412 Å
α = 90.00°, β = 90.00°, γ = 90.00°
Space group Cmmm (No. 65)
Asymmetric unit:
Sc 0.000 0.000 0.000 [2 per cell]
Sc 0.000 0.162 0.500 [4 per cell]
Sc 0.000 0.329 0.000 [4 per cell]
Tl 0.000 0.500 0.500 [2 per cell]

(2)
The following is a meta-GGA SCAN calculation of a PBEsol-optimized structure of FeCuTc2, from Alexandria via LeMat-Bulk.

Summary:
V   12.86 Å³ per atom
Crystal system   orthorhombic
Formation energy   0.1788 eV/atom
Energy above the most stable polymorph in this dataset   0.046 eV/atom

a = 3.038 Å, b = 4.101 Å, c = 8.261 Å
α = 90.00°, β = 90.00°, γ = 90.00°
Space group Cmm2 (No. 35)
Asymmetric unit:
Fe 0.000 0.000 0.000 [2 per cell]
Cu 0.000 0.500 0.235 [2 per cell]
Tc 0.000 0.000 0.492 [2 per cell]
Tc 0.000 0.500 0.756 [2 per cell]

(3)
The following is a meta-GGA SCAN calculation of a PBEsol-optimized structure of Ti2BiCl, from Alexandria via LeMat-Bulk.

Summary:
V   23.09 Å³ per atom
Crystal system   tetragonal
Final energy   -29.683 eV per atom

a = 4.982 Å, b = 4.982 Å, c = 14.886 Å
α = 90.00°, β = 90.00°, γ = 90.00°
Space group I-42d (No. 122)
Asymmetric unit:
Ti 0.142 0.250 0.125 [8 per cell]
Bi 0.000 0.000 0.500 [4 per cell]
Cl 0.000 0.000 0.000 [4 per cell]

(4)
The following is a meta-GGA SCAN calculation of a PBEsol-optimized structure of Sc2TlPb, from Alexandria via LeMat-Bulk.

Summary:
V   22.81 Å³ per atom
Crystal system   tetragonal
Formation energy   -0.4894 eV/atom
Energy above the most stable polymorph in this dataset   0.032 eV/atom

a = 3.286 Å, b = 3.286 Å, c = 8.450 Å
α = 90.00°, β = 90.00°, γ = 90.00°
Space group P4/mmm (No. 123)
Asymmetric unit:
Sc 0.000 0.000 0.245 [2 per cell]
Tl 0.500 0.500 0.000 [1 per cell]
Pb 0.500 0.500 0.500 [1 per cell]

(5)
The following is a meta-GGA SCAN calculation of a PBEsol-optimized structure of NiAsPb, from Alexandria via LeMat-Bulk.

Summary:
V   20.05 Å³ per atom
Crystal system   hexagonal
Formation energy   -0.0275 eV/atom

a = 3.9596 Å, b = 3.9596 Å, c = 4.4299 Å
α = 90.00°, β = 90.00°, γ = 120.00°
Space group P-6m2 (No. 187)
Asymmetric unit:
Ni 0.0000 0.0000 0.0000 [1 per cell]
As 0.6667 0.3333 0.0000 [1 per cell]
Pb 0.3333 0.6667 0.5000 [1 per cell]

(6)
The following is a meta-GGA SCAN calculation of a PBEsol-optimized structure of Mg2AlTe, from Alexandria via LeMat-Bulk.

Summary:
V   22.74 Å³ per atom
Crystal system   orthorhombic
Energy above the most stable polymorph in this dataset   0.159 eV/atom

a = 3.107 Å, b = 5.397 Å, c = 5.423 Å
α = 90.00°, β = 90.00°, γ = 90.00°
Space group Pmm2 (No. 25)
Asymmetric unit:
Mg 0.000 0.000 0.000 [1 per cell]
Mg 0.000 0.500 0.457 [1 per cell]
Al 0.500 0.500 0.962 [1 per cell]
Te 0.500 0.000 0.501 [1 per cell]

(7)
The following is a meta-GGA SCAN calculation of a PBEsol-optimized structure of La2TcSe, from Alexandria via LeMat-Bulk.

Summary:
V   28.52 Å³ per atom
Crystal system   trigonal
Final energy   -35.917 eV per atom

a = 4.3560 Å, b = 4.3560 Å, c = 20.8243 Å
α = 90.00°, β = 90.00°, γ = 120.00°
Space group R3m (No. 160, hexagonal axes)
Asymmetric unit:
La 0.0000 0.0000 0.0000 [3 per cell]
La 0.0000 0.0000 0.1648 [3 per cell]
Tc 0.0000 0.0000 0.4222 [3 per cell]
Se 0.0000 0.0000 0.7431 [3 per cell]

(8)
The following is a meta-GGA SCAN calculation of a PBEsol-optimized structure of BaBe3I, from Alexandria via LeMat-Bulk.

Summary:
V   42.86 Å³ per atom
Crystal system   cubic
Final energy   -16.067 eV per atom

a = 5.984 Å, b = 5.984 Å, c = 5.984 Å
α = 90.00°, β = 90.00°, γ = 90.00°
Space group Pm-3m (No. 221)
Asymmetric unit:
Ba 0.000 0.000 0.000 [1 per cell]
Be 0.000 0.000 0.500 [3 per cell]
I 0.500 0.500 0.500 [1 per cell]

(9)
The following is a meta-GGA SCAN calculation of a PBEsol-optimized structure of AlP2Pb, from Alexandria via LeMat-Bulk.

Summary:
V   25.01 Å³ per atom
Crystal system   tetragonal
Formation energy   -0.1543 eV/atom
Energy above the most stable polymorph in this dataset   0.000 eV/atom

a = 5.904 Å, b = 5.904 Å, c = 11.481 Å
α = 90.00°, β = 90.00°, γ = 90.00°
Space group I-42d (No. 122)
Asymmetric unit:
Al 0.000 0.000 0.000 [4 per cell]
P 0.195 0.250 0.125 [8 per cell]
Pb 0.000 0.000 0.500 [4 per cell]

(10)
The following is a meta-GGA SCAN calculation of a PBEsol-optimized structure of Al2S3, from Alexandria via LeMat-Bulk.

Summary:
V   18.36 Å³ per atom
Crystal system   tetragonal
Final energy   -10.129 eV per atom

a = 7.013 Å, b = 7.013 Å, c = 29.866 Å
α = 90.00°, β = 90.00°, γ = 90.00°
Space group I4_1/amd (No. 141, origin choice 2)
Asymmetric unit:
Al 0.000 0.000 0.000 [8 per cell]
Al 0.000 0.021 0.668 [16 per cell]
Al 0.000 0.250 0.205 [8 per cell]
S 0.000 0.008 0.749 [16 per cell]
S 0.000 0.010 0.078 [16 per cell]
S 0.000 0.021 0.413 [16 per cell]

(11)
The following is a meta-GGA SCAN calculation of a PBEsol-optimized structure of HfZn3Cl, from Alexandria via LeMat-Bulk.

Summary:
V   19.99 Å³ per atom
Crystal system   cubic
Final energy   -21.365 eV per atom

a = 4.641 Å, b = 4.641 Å, c = 4.641 Å
α = 90.00°, β = 90.00°, γ = 90.00°
Space group Pm-3m (No. 221)
Asymmetric unit:
Hf 0.000 0.000 0.000 [1 per cell]
Zn 0.000 0.500 0.500 [3 per cell]
Cl 0.500 0.500 0.500 [1 per cell]

(12)
The following is a meta-GGA SCAN calculation of a PBEsol-optimized structure of LaZnCo, from Alexandria via LeMat-Bulk.

Summary:
V   19.75 Å³ per atom
Crystal system   hexagonal
Formation energy   -0.0740 eV/atom

a = 4.1670 Å, b = 4.1670 Å, c = 3.9392 Å
α = 90.00°, β = 90.00°, γ = 120.00°
Space group P-6m2 (No. 187)
Asymmetric unit:
La 0.0000 0.0000 0.0000 [1 per cell]
Zn 0.3333 0.6667 0.5000 [1 per cell]
Co 0.6667 0.3333 0.5000 [1 per cell]